No. 1
Crystalline CdTc2Ag at its relaxed geometry. Source: the Alexandria database, functional PBE.

Calculated values
Mass density   10.448 g cm⁻³
Calculated total energy   -22.13 eV/cell

Lattice parameters (Å, degrees): 2.690 2.690 9.143 90.00 90.00 90.00
Positions (direct):
Ag  0.500  0.500  0.250
Cd  0.500  0.500  0.750
Tc  0.000  0.000  0.004
Tc  0.000  0.000  0.496



No. 2
Crystalline Sr2TlFe at its relaxed geometry. Source: the Alexandria database, functional PBE.

Calculated values
Mass density   6.460 g cm⁻³
Calculated total energy   -12.67 eV/cell

Lattice parameters (Å, degrees): 5.410 5.410 5.410 60.00 60.00 60.00
Positions (direct):
Fe  0.500  0.500  0.500
Sr  0.000  0.000  0.000
Sr  0.250  0.250  0.250
Tl  0.750  0.750  0.750



No. 3
Crystalline TmZr3Pa2N6 at its relaxed geometry. Source: the Alexandria database, functional PBE.

Calculated values
Formation energy (no corrections)   -20.44 eV/f.u.
Mass density   10.145 g cm⁻³
Calculated total energy   -119.50 eV/cell

Lattice parameters (Å, degrees): 3.358 6.751 7.527 103.01 102.89 90.00
Positions (direct):
Tm  0.500  0.000  0.000
Zr  0.500  0.500  0.000
Zr  0.836  0.170  0.671
Zr  0.164  0.830  0.329
Pa  0.833  0.667  0.667
Pa  0.167  0.333  0.333
N  0.333  0.921  0.665
N  0.662  0.594  0.324
N  0.667  0.079  0.335
N  0.001  0.254  0.001
N  0.999  0.746  0.999
N  0.338  0.406  0.676



No. 4
Crystalline Nd6CdSe5 at its relaxed geometry. Source: the Alexandria database, functional PBE.

Calculated values
Formation energy (no corrections)   -18.81 eV/f.u.
Mass density   6.900 g cm⁻³
Calculated total energy   -65.75 eV/cell

Lattice parameters (Å, degrees): 7.399 7.399 7.378 99.57 99.57 119.88
Positions (direct):
Nd  0.427  0.084  0.255
Nd  0.916  0.573  0.745
Nd  0.257  0.257  0.748
Nd  0.743  0.743  0.252
Nd  0.084  0.427  0.255
Nd  0.573  0.916  0.745
Se  0.836  0.164  0.500
Se  0.666  0.334  0.000
Se  0.500  0.500  0.500
Se  0.334  0.666  0.000
Se  0.164  0.836  0.500
Cd  0.000  0.000  0.000



No. 5
Crystalline Ta2CrRh at its relaxed geometry. Source: the Alexandria database, functional PBE.

Calculated values
Mass density   13.724 g cm⁻³
Calculated total energy   -40.98 eV/cell

Lattice parameters (Å, degrees): 5.097 5.097 2.779 79.53 79.53 113.37
Positions (direct):
Cr  0.500  0.000  0.500
Rh  0.000  0.500  0.500
Ta  0.000  0.000  0.000
Ta  0.500  0.500  0.000



No. 6
Crystalline CsHg2I4 at its relaxed geometry. Source: the Alexandria database, functional PBE.

Calculated values
Formation energy (no corrections)   -4.37 eV/f.u.
Mass density   4.646 g cm⁻³
Calculated total energy   -24.06 eV/cell

Lattice parameters (Å, degrees): 13.088 7.450 9.403 89.43 62.78 110.93
Positions (direct):
Cs  0.456  0.829  0.731
Cs  0.034  0.960  0.954
I  0.334  0.062  0.480
I  0.106  0.668  0.272
I  0.753  0.117  0.251
I  0.674  0.629  0.081
I  0.377  0.264  0.977
I  0.725  0.642  0.517
I  0.769  0.170  0.734
I  0.114  0.508  0.809
Hg  0.664  0.459  0.825
Hg  0.366  0.424  0.270
Hg  0.260  0.649  0.458
Hg  0.870  0.368  0.391



The lowest mass density belongs to which entry? CsHg2I4



What is the formula in the sixth record? CsHg2I4



Which formula does entry 2 have? Sr2TlFe



Look up the calculated total energy of the fourth one. -65.75 eV/cell